Entry from Alexandria: crystalline LiNbP3 at its relaxed geometry (PBE).

The space group is Pm-3m, No. 221. Its polymorph energy (0 for the lowest one) is 0.000 eV per atom. The density of states at the Fermi level comes out at 0.419 states/eV per atom.

```
5
Lattice="4.8398 0.0000 0.0000 0.0000 4.8398 0.0000 0.0000 0.0000 4.8398" Properties=species:S:1:pos:R:3 pbc="T T T"
Li 0.0000 0.0000 0.0000
Nb 2.4199 2.4199 2.4199
P 0.0000 2.4199 2.4199
P 2.4199 0.0000 2.4199
P 2.4199 2.4199 0.0000
```